No. 1
The following is a DFT calculation (PBE-GGA) of a relaxed structure of RbY3W.

Lattice parameters (Å, degrees): 5.2276 5.2276 5.2276 90.00 90.00 90.00
Sites, in units of the cell vectors:
Y: 0.0000 0.5000 0.0000
Y: 0.0000 0.0000 0.5000
Y: 0.5000 0.0000 0.0000
Rb: 0.0000 0.0000 0.0000
W: 0.5000 0.5000 0.5000

## Properties
- offset from the most stable computed form (eV/f.u.) = 7.481
- calculated formation energy (eV per atom) = 2.145
- total energy (eV for the cell shown) = -22.59

=====

No. 2
The following is a DFT calculation (PBE-GGA) of a relaxed structure of CeCd2Ag4.

Lattice parameters (Å, degrees): 6.6509 6.6509 6.6509 100.32 100.32 129.91
Sites, in units of the cell vectors:
Ce: 0.0000 0.0000 0.0000
Cd: 0.2500 0.7500 0.5000
Cd: 0.7500 0.2500 0.5000
Ag: 0.7226 0.5000 0.2226
Ag: 0.5000 0.7226 0.2226
Ag: 0.5000 0.2774 0.7774
Ag: 0.2774 0.5000 0.7774

## Properties
- offset from the most stable computed form (eV/f.u.) = 3.300
- calculated formation energy (eV per atom) = 0.328
- total energy (eV for the cell shown) = -16.87

=====

No. 3
The following is a DFT calculation (PBE-GGA) of a relaxed structure of K3Pr2YSe6.

Lattice parameters (Å, degrees): 7.4949 7.4949 8.1035 98.88 98.88 120.00
Sites, in units of the cell vectors:
K: 0.1680 0.8320 0.5000
K: 0.8320 0.1680 0.5000
K: 0.5000 0.5000 0.5000
Pr: 0.3335 0.6665 0.0000
Pr: 0.6665 0.3335 0.0000
Y: 0.0000 0.0000 0.0000
Se: 0.9301 0.6058 0.7901
Se: 0.7459 0.7459 0.2100
Se: 0.0699 0.3942 0.2099
Se: 0.6058 0.9301 0.7901
Se: 0.2541 0.2541 0.7900
Se: 0.3942 0.0699 0.2099

## Properties
- raw formation energy (eV per atom) = -1.755
- total energy (eV for the cell shown) = -61.28

=====

No. 4
The following is a DFT calculation (PBE-GGA) of a relaxed structure of NaMgCdSi.

Lattice parameters (Å, degrees): 4.8931 4.8931 4.8931 60.00 60.00 60.00
Sites, in units of the cell vectors:
Na: 0.0000 0.0000 0.0000
Si: 0.2500 0.2500 0.2500
Mg: 0.5000 0.5000 0.5000
Cd: 0.7500 0.7500 0.7500

## Properties
- raw formation energy (eV per atom) = 0.104
- total energy (eV for the cell shown) = -8.84

=====

No. 5
The following is a DFT calculation (PBE-GGA) of a relaxed structure of TaAlCr2.

Lattice parameters (Å, degrees): 4.1914 2.6508 5.1858 80.17 90.00 90.00
Sites, in units of the cell vectors:
Cr: 0.0000 0.0428 0.9818
Cr: 0.0000 0.4572 0.5182
Al: 0.5000 0.7500 0.7500
Ta: 0.5000 0.2500 0.2500

## Properties
- calculated formation energy (eV per atom) = 0.067
- total energy (eV for the cell shown) = -34.57

=====

No. 6
The following is a DFT calculation (PBE-GGA) of a relaxed structure of CdGa6Au12.

Lattice parameters (Å, degrees): 7.7483 7.7483 7.7483 108.50 108.50 108.50
Sites, in units of the cell vectors:
Cd: 0.0000 0.0000 0.0000
Ga: 0.7194 0.2946 0.2946
Ga: 0.2946 0.2946 0.7194
Ga: 0.2946 0.7194 0.2946
Ga: 0.7054 0.7054 0.2806
Ga: 0.2806 0.7054 0.7054
Ga: 0.7054 0.2806 0.7054
Au: 0.8843 0.1157 0.5000
Au: 0.8646 0.6332 0.6332
Au: 0.6332 0.6332 0.8646
Au: 0.3668 0.1354 0.3668
Au: 0.3668 0.3668 0.1354
Au: 0.1354 0.3668 0.3668
Au: 0.1157 0.5000 0.8843
Au: 0.5000 0.8843 0.1157
Au: 0.1157 0.8843 0.5000
Au: 0.8843 0.5000 0.1157
Au: 0.5000 0.1157 0.8843
Au: 0.6332 0.8646 0.6332

## Properties
- offset from the most stable computed form (eV/f.u.) = 0.621
- calculated formation energy (eV per atom) = -0.099
- total energy (eV for the cell shown) = -60.29

=====

No. 7
The following is a DFT calculation (PBE-GGA) of a relaxed structure of Cu3TeBr.

Lattice parameters (Å, degrees): 4.9412 4.9412 4.9412 90.00 90.00 90.00
Sites, in units of the cell vectors:
Te: 0.0000 0.0000 0.0000
Cu: 0.0000 0.5000 0.0000
Cu: 0.0000 0.0000 0.5000
Cu: 0.5000 0.0000 0.0000
Br: 0.5000 0.5000 0.5000

## Properties
- offset from the most stable computed form (eV/f.u.) = 0.000
- raw formation energy (eV per atom) = 0.281
- total energy (eV for the cell shown) = -15.70

=====

No. 8
The following is a DFT calculation (PBE-GGA) of a relaxed structure of SmEuMg.

Lattice parameters (Å, degrees): 3.4585 5.6475 5.6475 120.00 90.00 90.00
Sites, in units of the cell vectors:
Eu: 0.9639 0.0000 0.0000
Mg: 0.6803 0.6667 0.3333
Sm: 0.3558 0.3333 0.6667

## Properties
- offset from the most stable computed form (eV/f.u.) = 0.221
- calculated formation energy (eV per atom) = 0.060
- total energy (eV for the cell shown) = -16.41

=====

No. 9
The following is a DFT calculation (PBE-GGA) of a relaxed structure of SrSiRuO6.

Lattice parameters (Å, degrees): 5.0006 5.0006 5.4307 90.01 89.99 59.98
Sites, in units of the cell vectors:
Sr: 0.9999 0.0000 0.0000
Si: 0.3333 0.3334 0.5000
Ru: 0.6666 0.6666 0.5000
O: 0.0210 0.3734 0.3090
O: 0.3733 0.0211 0.6910
O: 0.6056 0.3734 0.6910
O: 0.0209 0.6057 0.6909
O: 0.3734 0.6056 0.3090
O: 0.6057 0.0210 0.3090

## Properties
- raw formation energy (eV per atom) = -1.938
- total energy (eV for the cell shown) = -63.58

=====

No. 10
The following is a DFT calculation (PBE-GGA) of a relaxed structure of PrYPt4.

Lattice parameters (Å, degrees): 5.4919 5.4919 5.4919 60.00 60.00 60.00
Sites, in units of the cell vectors:
Pr: 0.0000 0.0000 0.0000
Y: 0.2500 0.2500 0.2500
Pt: 0.6246 0.6246 0.1261
Pt: 0.6246 0.1261 0.6246
Pt: 0.6246 0.6246 0.6246
Pt: 0.1261 0.6246 0.6246

## Properties
- calculated formation energy (eV per atom) = -1.071
- total energy (eV for the cell shown) = -41.83

=====

No. 11
The following is a DFT calculation (PBE-GGA) of a relaxed structure of SmDy6Tm3Sc2.

Lattice parameters (Å, degrees): 6.0434 6.0434 11.5470 94.98 94.98 119.95
Sites, in units of the cell vectors:
Sm: 0.0000 0.0000 0.0000
Dy: 0.9168 0.5810 0.7526
Dy: 0.7471 0.7471 0.2474
Dy: 0.0832 0.4190 0.2474
Dy: 0.5810 0.9168 0.7526
Dy: 0.2529 0.2529 0.7526
Dy: 0.4190 0.0832 0.2474
Tm: 0.1671 0.8329 0.5000
Tm: 0.8329 0.1671 0.5000
Tm: 0.5000 0.5000 0.5000
Sc: 0.3335 0.6665 0.0000
Sc: 0.6665 0.3335 0.0000

## Properties
- calculated formation energy (eV per atom) = 0.037
- total energy (eV for the cell shown) = -57.97

=====

No. 12
The following is a DFT calculation (PBE-GGA) of a relaxed structure of Tb8Ho4Zr.

Lattice parameters (Å, degrees): 7.6570 7.6570 7.6570 90.22 90.22 90.22
Sites, in units of the cell vectors:
Tb: 0.2445 0.7533 0.2445
Tb: 0.7555 0.7555 0.2467
Tb: 0.7555 0.2467 0.7555
Tb: 0.2467 0.7555 0.7555
Tb: 0.7552 0.7552 0.7552
Tb: 0.2448 0.2448 0.2448
Tb: 0.7533 0.2445 0.2445
Tb: 0.2445 0.2445 0.7533
Ho: 0.5000 0.0000 0.5000
Ho: 0.0000 0.5000 0.5000
Ho: 0.5000 0.5000 0.0000
Ho: 0.0000 0.0000 0.0000
Zr: 0.5000 0.5000 0.5000

## Properties
- calculated formation energy (eV per atom) = 0.525
- total energy (eV for the cell shown) = -57.07

=====

total energy of number 6 (CdGa6Au12)? -60.29 eV for the cell shown

=====

Please write out number 2 again, unchanged.
The following is a DFT calculation (PBE-GGA) of a relaxed structure of CeCd2Ag4.

Lattice parameters (Å, degrees): 6.6509 6.6509 6.6509 100.32 100.32 129.91
Sites, in units of the cell vectors:
Ce: 0.0000 0.0000 0.0000
Cd: 0.2500 0.7500 0.5000
Cd: 0.7500 0.2500 0.5000
Ag: 0.7226 0.5000 0.2226
Ag: 0.5000 0.7226 0.2226
Ag: 0.5000 0.2774 0.7774
Ag: 0.2774 0.5000 0.7774

## Properties
- offset from the most stable computed form (eV/f.u.) = 3.300
- calculated formation energy (eV per atom) = 0.328
- total energy (eV for the cell shown) = -16.87

=====

Among the records above, which one has the lowest total energy? SrSiRuO6

=====

Copy entry 2 word for word.
The following is a DFT calculation (PBE-GGA) of a relaxed structure of CeCd2Ag4.

Lattice parameters (Å, degrees): 6.6509 6.6509 6.6509 100.32 100.32 129.91
Sites, in units of the cell vectors:
Ce: 0.0000 0.0000 0.0000
Cd: 0.2500 0.7500 0.5000
Cd: 0.7500 0.2500 0.5000
Ag: 0.7226 0.5000 0.2226
Ag: 0.5000 0.7226 0.2226
Ag: 0.5000 0.2774 0.7774
Ag: 0.2774 0.5000 0.7774

## Properties
- offset from the most stable computed form (eV/f.u.) = 3.300
- calculated formation energy (eV per atom) = 0.328
- total energy (eV for the cell shown) = -16.87